Entry 1:
This record from the Open Quantum Materials Database describes an optimized crystal structure of KRb2CoBr6. The functional is PBE.

CIF file:
```
data_KRb2CoBr6
_cell_length_a 11.062
_cell_length_b 11.062
_cell_length_c 11.062
_cell_angle_alpha 90.00
_cell_angle_beta 90.00
_cell_angle_gamma 90.00
_symmetry_space_group_name_H-M 'F m -3 m'
_symmetry_Int_Tables_number 225
_symmetry_space_group_name_Hall '-F 4 2 3'
loop_
_atom_site_label
_atom_site_type_symbol
_atom_site_fract_x
_atom_site_fract_y
_atom_site_fract_z
K1 K 0.000 0.000 0.000
Rb1 Rb 0.250 0.250 0.250
Co1 Co 0.000 0.000 0.500
Br1 Br 0.000 0.000 0.281
```

---

Entry 2:
This record from the Open Quantum Materials Database describes an optimized crystal structure of La4CoBr5. The functional is PBE.

CIF file:
```
data_La4CoBr5
_cell_length_a 19.375
_cell_length_b 4.073
_cell_length_c 8.807
_cell_angle_alpha 90.00
_cell_angle_beta 105.11
_cell_angle_gamma 90.00
_symmetry_space_group_name_H-M 'C 1 2/m 1'
_symmetry_Int_Tables_number 12
loop_
_symmetry_equiv_pos_as_xyz
'x,y,z'
'-x,-y,-z'
'-x,y,-z'
'x,-y,z'
'x+1/2,y+1/2,z'
'-x+1/2,-y+1/2,-z'
'-x+1/2,y+1/2,-z'
'x+1/2,-y+1/2,z'
loop_
_atom_site_label
_atom_site_type_symbol
_atom_site_fract_x
_atom_site_fract_y
_atom_site_fract_z
La1 La 0.002 0.000 0.290
La2 La 0.152 0.500 0.599
Co1 Co 0.000 0.500 0.500
Br1 Br 0.000 0.500 0.000
Br2 Br 0.165 0.000 0.859
Br3 Br 0.173 0.000 0.347
```

---

| no. | uncorrected energy (eV per cell) |
| --- | --- |
| 1 | -125.5 |
| 2 | -99.0 |